## K2Tl2Br7 (GGA-PBE)

Data for crystalline K2Tl2Br7 at its relaxed geometry.

## Properties
Its raw formation energy is -10.38 eV/f.u. As for the total energy: -2.638 eV/atom.

Unit cell a=6.8715 b=8.6540 c=16.6882 alpha=90.00 beta=90.00 gamma=98.29
Sites, in units of the cell vectors:
K: 0.6461 0.9153 0.1432
K: 0.3539 0.5847 0.6432
K: 0.3539 0.0847 0.8568
K: 0.6461 0.4153 0.3568
Tl: 0.8253 0.6524 0.8786
Tl: 0.1747 0.3476 0.1214
Tl: 0.8253 0.1524 0.6214
Tl: 0.1747 0.8476 0.3786
Br: 0.0000 0.0000 0.5000
Br: 0.0000 0.5000 0.0000
Br: 0.2948 0.0898 0.0535
Br: 0.7052 0.4102 0.5535
Br: 0.7052 0.9102 0.9465
Br: 0.2948 0.5898 0.4465
Br: 0.0827 0.2835 0.7337
Br: 0.0827 0.7835 0.7663
Br: 0.9173 0.2165 0.2337
Br: 0.9173 0.7165 0.2663
Br: 0.5065 0.9656 0.6786
Br: 0.5065 0.4656 0.8214
Br: 0.4935 0.5344 0.1786
Br: 0.4935 0.0344 0.3214